Record 1
Material: Ba2SrCa
Method: DFT, PBEsol
State: relaxed

Results
Crystal system   orthorhombic
Space-group type   No. 44
Energy above the most stable polymorph in this dataset   0.026 eV/f.u.
E_tot   -2.05 eV/atom

Cell lengths 7.8035, 7.8035, 7.8035 Å; angles 145.16, 129.33, 62.96 degrees
Atoms (fractional coordinates):
Ba1 0.0000 0.0000 0.0000
Ba2 0.7414 0.2414 0.5000
Sr1 0.4851 0.4851 0.0000
Ca1 0.2463 0.7463 0.5000

Record 2
Material: CaY2O4
Method: DFT, PBEsol
State: relaxed

Results
Crystal system   orthorhombic
Space-group type   No. 63
Energy above the most stable polymorph in this dataset   0.130 eV/f.u.
Uncorrected formation energy   -3.39 eV/atom
E_tot   -8.64 eV/atom

Cell lengths 5.7074, 5.7074, 10.8026 Å; angles 90.00, 90.00, 146.58 degrees
Atoms (fractional coordinates):
Ca1 0.1119 0.8881 0.7500
Ca2 0.8881 0.1119 0.2500
Y1 0.3677 0.6323 0.5744
Y2 0.3677 0.6323 0.9256
Y3 0.6323 0.3677 0.0744
Y4 0.6323 0.3677 0.4256
O1 0.0000 0.0000 0.0000
O2 0.0000 0.0000 0.5000
O3 0.2669 0.7331 0.1135
O4 0.2669 0.7331 0.3865
O5 0.4675 0.5325 0.7500
O6 0.5325 0.4675 0.2500
O7 0.7331 0.2669 0.6135
O8 0.7331 0.2669 0.8865

Record 3
Material: TaGaTe2I
Method: DFT, PBEsol
State: relaxed

Results
Crystal system   tetragonal
Space-group type   No. 123
Uncorrected formation energy   0.20 eV/atom
E_tot   -4.74 eV/atom

Cell lengths 5.3619, 5.3619, 5.5637 Å; angles 90.00, 90.00, 90.00 degrees
Atoms (fractional coordinates):
Ta1 0.0000 0.0000 0.0000
Ga1 0.5000 0.5000 0.5000
Te1 0.0000 0.5000 0.0000
Te2 0.5000 0.0000 0.0000
I1 0.0000 0.0000 0.5000